Below is an optimized crystal structure of CsCd3, with properties calculated at the GGA-PBE level.

```
CsCd3
1.0
9.740 0.000 0.000
0.000 8.025 0.000
0.000 0.000 7.128
Cs Cd
4 12
Direct
0.030 0.250 0.121 Cs
0.470 0.750 0.621 Cs
0.530 0.250 0.379 Cs
0.970 0.750 0.879 Cs
0.129 0.750 0.367 Cd
0.166 0.065 0.592 Cd
0.166 0.435 0.592 Cd
0.334 0.565 0.092 Cd
0.334 0.935 0.092 Cd
0.371 0.250 0.867 Cd
0.629 0.750 0.133 Cd
0.666 0.065 0.908 Cd
0.666 0.435 0.908 Cd
0.834 0.565 0.408 Cd
0.834 0.935 0.408 Cd
0.871 0.250 0.633 Cd
```

Summary:
The energy above the most stable polymorph in this dataset comes out at 47 meV per atom. As for the formation energy: -0.02 eV/atom.